# 1
VASP calculation (PBEsol) on a relaxed structure of CaLa.

Lattice parameters (Å, degrees): 3.698 3.698 6.204 90.00 90.00 120.00
Atoms (fractional coordinates):
Ca1 0.000 0.000 0.500
La1 0.333 0.667 0.000

Properties
* M_tot: 0.00 μB/f.u.
* distance to the lowest polymorph of the same formula: 51 meV per atom
* space-group type: P-6m2, No. 187
* ΔH_f (0 K): 82 meV/atom
* density: 4.05 Mg/m³

# 2
VASP calculation (PBEsol) on a relaxed structure of Ca2La.

Lattice parameters (Å, degrees): 3.702 7.274 9.089 105.74 90.00 104.74
Atoms (fractional coordinates):
Ca1 0.389 0.778 0.280
La1 0.717 0.435 0.927
Ca2 0.335 0.669 0.664
Ca3 0.663 0.326 0.334
Ca4 0.999 0.998 0.997
La2 0.063 0.127 0.631

Properties
* M_tot: 0.00 μB/f.u.
* distance to the lowest polymorph of the same formula: 18 meV per atom
* space-group type: Cm, No. 8
* ΔH_f (0 K): 70 meV/atom
* density: 3.20 Mg/m³

# 3
VASP calculation (PBEsol) on a relaxed structure of CaLa4.

Lattice parameters (Å, degrees): 6.380 6.380 6.380 109.47 109.47 109.47
Atoms (fractional coordinates):
La1 0.500 0.500 0.500
La2 0.000 0.500 0.000
La3 0.500 0.000 0.000
Ca1 0.000 0.000 0.000
La4 0.000 0.000 0.500

Properties
* M_tot: 0.00 μB/f.u.
* space-group type: Im-3m, No. 229
* ΔH_f (0 K): 813 meV/atom
* density: 4.95 Mg/m³

# 4
VASP calculation (PBEsol) on a relaxed structure of CaLa.

Lattice parameters (Å, degrees): 3.714 7.241 8.796 104.15 90.00 104.86
Atoms (fractional coordinates):
Ca1 0.997 0.994 0.001
La1 0.662 0.324 0.341
Ca2 0.341 0.682 0.668
La2 0.073 0.147 0.607
La3 0.708 0.417 0.937
Ca3 0.385 0.771 0.279

Properties
* M_tot: 0.00 μB/f.u.
* distance to the lowest polymorph of the same formula: 46 meV per atom
* space-group type: Cm, No. 8
* ΔH_f (0 K): 77 meV/atom
* density: 4.03 Mg/m³